Below is CsCuNiTe2Se after structural relaxation, with properties calculated at the PBE-GGA level.

Summary:
Calculated total energy, eV per atom: -3.63
Volume, A^3/atom: 28.18

Cell: 8.384 8.384 10.661 Å, 90.00 90.00 153.17°
Fractional positions:
Cs 0.247 0.753 0.750
Cs 0.753 0.247 0.250
Cu 0.038 0.962 0.250
Cu 0.962 0.038 0.750
Ni 0.500 0.500 0.000
Ni 0.500 0.500 0.500
Te 0.102 0.898 0.030
Te 0.102 0.898 0.470
Te 0.898 0.102 0.530
Te 0.898 0.102 0.970
Se 0.452 0.548 0.250
Se 0.548 0.452 0.750


Below is CsCuNiTe after structural relaxation, with properties calculated at the PBE-GGA level.

Summary:
Calculated total energy, eV per atom: -2.44
Volume, A^3/atom: 26.40
Energy above the most stable polymorph in this dataset, kJ/mol of formula units: 110.6

Cell: 5.305 5.305 5.305 Å, 60.00 60.00 60.00°
Fractional positions:
Cs 0.000 0.000 0.000
Cu 0.500 0.500 0.500
Ni 0.750 0.750 0.750
Te 0.250 0.250 0.250


Below is CsCuNiTe after structural relaxation, with properties calculated at the PBE-GGA level.

Summary:
Calculated total energy, eV per atom: -2.73
Volume, A^3/atom: 23.40
Energy above the most stable polymorph in this dataset, kJ/mol of formula units: 0.0

Cell: 5.097 5.097 5.097 Å, 60.00 60.00 60.00°
Fractional positions:
Cs 0.000 0.000 0.000
Cu 0.750 0.750 0.750
Ni 0.250 0.250 0.250
Te 0.500 0.500 0.500


Below is CsCuNiTe after structural relaxation, with properties calculated at the PBE-GGA level.

Summary:
Calculated total energy, eV per atom: -2.53
Volume, A^3/atom: 26.08
Energy above the most stable polymorph in this dataset, kJ/mol of formula units: 75.5

Cell: 5.284 5.284 5.284 Å, 60.00 60.00 60.00°
Fractional positions:
Cs 0.000 0.000 0.000
Cu 0.250 0.250 0.250
Ni 0.500 0.500 0.500
Te 0.750 0.750 0.750